# ZrGaPt3

A geometry-optimized ZrGaPt3 structure (PBE, the Alexandria database).

The total energy comes out at -26.5 eV/cell. The formation energy from the elements is 3.2 eV per formula unit. The calculation puts the calculated volume at 25.7 Å³ per atom. For the density, the calculation gives 9.63 g/cm³. As for the crystal system: cubic.

It has space group Pm-3m (No. 221), with a = 5.049 Å, b = 5.049 Å, c = 5.049 Å, α = 90.00°, β = 90.00° and γ = 90.00°. The asymmetric unit holds Zr at (0.000, 0.000, 0.000), Ga at (0.500, 0.500, 0.500) and Pt at (0.000, 0.000, 0.500).

# Pm5Ir3

A geometry-optimized Pm5Ir3 structure (PBE, the Alexandria database).

The total energy comes out at -222.3 eV/cell. The formation energy from the elements is -5.2 eV per formula unit. The calculation puts the calculated volume at 25.6 Å³ per atom. For the density, the calculation gives 10.57 g/cm³. As for the crystal system: tetragonal.

It has space group P4/ncc (No. 130, origin choice 2), with a = 11.198 Å, b = 11.198 Å, c = 6.526 Å, α = 90.00°, β = 90.00° and γ = 90.00°. The asymmetric unit holds Pm at (0.042, 0.160, 0.117), Pm at (0.250, 0.750, 0.000), Ir at (0.096, 0.596, 0.750) and Ir at (0.250, 0.250, 0.378).

# Zn3CrBi

A geometry-optimized Zn3CrBi structure (PBE, the Alexandria database).

The total energy comes out at -13.4 eV/cell. The formation energy from the elements is 3.9 eV per formula unit. The calculation puts the calculated volume at 21.3 Å³ per atom. For the density, the calculation gives 7.14 g/cm³. As for the crystal system: cubic.

It has space group Pm-3m (No. 221), with a = 4.738 Å, b = 4.738 Å, c = 4.738 Å, α = 90.00°, β = 90.00° and γ = 90.00°. The asymmetric unit holds Zn at (0.000, 0.000, 0.500), Cr at (0.000, 0.000, 0.000) and Bi at (0.500, 0.500, 0.500).

# MnSi2SN

A geometry-optimized MnSi2SN structure (PBE, the Alexandria database).

The total energy comes out at -33.2 eV/cell. The calculation puts the calculated volume at 12.3 Å³ per atom. As for the energy relative to the elements, uncorrected: -138 meV per atom. For the density, the calculation gives 4.24 g/cm³. As for the crystal system: triclinic.

It has space group P1 (No. 1), with a = 3.149 Å, b = 4.551 Å, c = 4.933 Å, α = 115.04°, β = 103.57° and γ = 91.64°. The asymmetric unit holds Mn at (0.000, 0.000, 0.000), Si at (0.184, 0.487, 0.467), Si at (0.616, 0.982, 0.313), S at (0.990, 0.424, 0.860) and N at (0.701, 0.735, 0.514).